This record from Alexandria via LeMat-Bulk describes a geometry-optimized KLiCrHg2 structure. The functional is GGA-PBEsol.

Summary:
**Theoretical density**: 6574 kg/m³
**Calculated total energy**: -0.18198 Ry per atom
**Formation enthalpy at 0 K**: 0.419 eV per atom

a = 4.941 Å, b = 5.052 Å, c = 5.052 Å
α = 90.00°, β = 90.00°, γ = 90.00°
Last column: magnetic moment on the atom in μB.
Element x y z (fractional)
Cr 0.500 0.000 0.000  4.13
K 0.500 0.500 0.500  0.01
Hg 0.000 0.000 0.500  0.00
Hg 0.000 0.500 0.000  0.00
Li 0.000 0.000 0.000  0.01


This record from Alexandria via LeMat-Bulk describes a geometry-optimized ZrRhI2 structure. The functional is GGA-PBEsol.

Summary:
**Theoretical density**: 8857 kg/m³
**ΔE_f (raw)**: 0.054 eV per atom
**Calculated total energy**: -0.37750 Ry per atom

a = 4.915 Å, b = 4.915 Å, c = 4.915 Å
α = 60.00°, β = 60.00°, γ = 60.00°
Element x y z (fractional)
I 0.250 0.250 0.250
I 0.750 0.750 0.750
Rh 0.500 0.500 0.500
Zr 0.000 0.000 0.000


This record from Alexandria via LeMat-Bulk describes a geometry-optimized KZnP2O7 structure. The functional is GGA-PBEsol.

Summary:
**Theoretical density**: 2871 kg/m³
**ΔE_f (raw)**: -1.917 eV per atom
**Calculated total energy**: -0.48198 Ry per atom

a = 5.077 Å, b = 10.204 Å, c = 12.436 Å
α = 90.00°, β = 90.00°, γ = 90.00°
Last column: magnetic moment on the atom in μB.
Element x y z (fractional)
K 0.001 0.265 0.000  0.00
K 0.999 0.765 0.000  0.00
K 0.493 0.484 0.500  0.00
K 0.507 0.984 0.500  0.00
Zn 0.540 0.280 0.250  0.01
Zn 0.460 0.780 0.250  0.01
Zn 0.460 0.780 0.750  0.01
Zn 0.540 0.280 0.750  0.01
P 0.452 0.033 0.111  -0.01
P 0.548 0.533 0.111  -0.01
P 0.051 0.217 0.389  -0.01
P 0.949 0.717 0.389  -0.01
P 0.051 0.217 0.611  -0.01
P 0.949 0.717 0.611  -0.01
P 0.452 0.033 0.889  -0.01
P 0.548 0.533 0.889  -0.01
O 0.403 0.485 0.000  -0.01
O 0.597 0.985 0.000  -0.01
O 0.513 0.179 0.119  0.01
O 0.487 0.679 0.119  0.01
O 0.156 0.004 0.091  0.35
O 0.844 0.504 0.091  0.35
O 0.443 0.454 0.205  0.06
O 0.557 0.954 0.205  0.06
O 0.097 0.777 0.296  0.07
O 0.903 0.277 0.296  0.07
O 0.024 0.572 0.409  0.36
O 0.976 0.072 0.409  0.36
O 0.349 0.237 0.380  0.01
O 0.651 0.737 0.380  0.01
O 0.967 0.292 0.500  -0.01
O 0.033 0.792 0.500  -0.01
O 0.349 0.237 0.620  0.01
O 0.651 0.737 0.620  0.01
O 0.024 0.572 0.591  0.36
O 0.976 0.072 0.591  0.36
O 0.097 0.777 0.704  0.07
O 0.903 0.277 0.704  0.07
O 0.443 0.454 0.795  0.06
O 0.557 0.954 0.795  0.06
O 0.156 0.004 0.909  0.35
O 0.844 0.504 0.909  0.35
O 0.487 0.679 0.881  0.01
O 0.513 0.179 0.881  0.01